Here is a geometry-optimized LaHoCuPt structure from Alexandria. Energies are from PBE.

The value obtained for the density of states at the Fermi level is 0.48 states/eV/atom. The offset from the most stable computed form is 0.050 eV/atom. The electronic total energy is -5.59 eV/atom. The value obtained for the formation energy from the elements is -684 meV per atom.

The structure belongs to space group F-43m (No. 216); the cell edges are 7.1439, 7.1439 and 7.1439 Å and the angles 90.00°, 90.00° and 90.00°. The asymmetric unit holds La at (0.0000, 0.0000, 0.0000), Ho at (0.0000, 0.0000, 0.5000), Cu at (0.2500, 0.2500, 0.7500) and Pt at (0.2500, 0.2500, 0.2500).

Here is a geometry-optimized Al2SeI structure from Alexandria. Energies are from PBE.

The value obtained for the density of states at the Fermi level is 0.47 states/eV/atom. The offset from the most stable computed form is 0.000 eV/atom. The electronic total energy is -3.14 eV/atom. The formation energy (no corrections) is -7 meV per atom.

The structure belongs to space group I-42d (No. 122); the cell edges are 7.5577, 7.5577 and 7.8417 Å and the angles 90.00°, 90.00° and 90.00°. The asymmetric unit holds Al at (0.2068, 0.2500, 0.1250), Se at (0.0000, 0.0000, 0.0000) and I at (0.0000, 0.0000, 0.5000).

Here is a geometry-optimized In2Ga2Ge structure from Alexandria. Energies are from PBE.

The value obtained for the density of states at the Fermi level is 0.57 states/eV/atom. The offset from the most stable computed form is 0.178 eV/atom. The electronic total energy is -2.95 eV/atom. The value obtained for the formation energy from the elements is 279 meV per atom.

The structure belongs to space group I4/mmm (No. 139); the cell edges are 4.4839, 4.4839 and 11.8982 Å and the angles 90.00°, 90.00° and 90.00°. The asymmetric unit holds In at (0.0000, 0.5000, 0.2500), Ga at (0.0000, 0.0000, 0.1010) and Ge at (0.0000, 0.0000, 0.5000).